Record 1
Crystalline UTlMoO6 at its relaxed geometry. Source: the Alexandria database, functional GGA+U.

## Properties
The symmetry is Imma (74).

Cell: 7.393 7.918 7.685 Å, 121.01 118.75 90.00°
Positions (direct):
O1 0.820 0.061 0.255
O2 0.802 0.052 0.603
O3 0.198 0.948 0.397
O4 0.422 0.672 0.843
O5 0.435 0.061 0.255
O6 0.565 0.939 0.745
O7 0.180 0.305 0.745
O8 0.180 0.939 0.745
O9 0.820 0.695 0.255
O10 0.565 0.305 0.745
O11 0.578 0.328 0.157
O12 0.435 0.695 0.255
Mo1 0.000 0.000 0.500
Mo2 0.500 0.000 0.500
U1 0.500 0.000 0.000
U2 0.500 0.500 0.000
Tl1 0.828 0.578 0.656
Tl2 0.172 0.422 0.344


Record 2
Crystalline U3Tl4MoO12 at its relaxed geometry. Source: the Alexandria database, functional GGA+U.

## Properties
The symmetry is Im-3m (229).

Cell: 7.454 7.454 7.454 Å, 109.47 109.47 109.47°
Positions (direct):
O1 0.000 0.740 0.740
O2 0.740 0.000 0.740
O3 0.260 0.260 0.000
O4 0.750 0.250 0.500
O5 0.500 0.250 0.750
O6 0.740 0.740 0.000
O7 0.250 0.500 0.750
O8 0.500 0.750 0.250
O9 0.000 0.260 0.260
O10 0.250 0.750 0.500
O11 0.260 0.000 0.260
O12 0.750 0.500 0.250
Tl1 0.000 0.000 0.500
Tl2 0.500 0.500 0.500
Tl3 0.500 0.000 0.000
Tl4 0.000 0.500 0.000
Mo1 0.000 0.000 0.000
U1 0.000 0.500 0.500
U2 0.500 0.500 0.000
U3 0.500 0.000 0.500


Record 3
Crystalline Tl2VMoO at its relaxed geometry. Source: the Alexandria database, functional GGA+U.

## Properties
The symmetry is P4/mmm (123).

Cell: 5.819 3.622 5.819 Å, 90.00 90.00 90.00°
Positions (direct):
Tl1 0.000 0.000 0.500
Tl2 0.500 0.000 0.000
Mo1 0.500 0.500 0.500
O1 0.000 0.500 0.000
V1 0.000 0.000 0.000


Record 4
Crystalline Tl2VMoO6 at its relaxed geometry. Source: the Alexandria database, functional GGA+U.

## Properties
The symmetry is R-3m (166).

Cell: 5.930 5.930 9.983 Å, 72.72 72.72 60.00°
Positions (direct):
O1 0.214 0.692 0.881
O2 0.214 0.214 0.881
O3 0.786 0.308 0.119
O4 0.598 0.598 0.635
O5 0.168 0.598 0.635
O6 0.308 0.786 0.119
O7 0.402 0.832 0.365
O8 0.786 0.786 0.119
O9 0.402 0.402 0.365
O10 0.832 0.402 0.365
O11 0.692 0.214 0.881
O12 0.598 0.168 0.635
Tl1 0.725 0.725 0.825
Tl2 0.131 0.131 0.606
Tl3 0.275 0.275 0.175
Tl4 0.869 0.869 0.394
V1 0.401 0.401 0.798
V2 0.599 0.599 0.202
Mo1 0.000 0.000 0.000
Mo2 0.500 0.500 0.500


Record 5
Crystalline TlV2MoO8 at its relaxed geometry. Source: the Alexandria database, functional GGA+U.

## Properties
The symmetry is C2/m (12).

Cell: 5.516 5.516 8.058 Å, 88.50 88.50 61.81°
Positions (direct):
O1 0.800 0.800 0.083
O2 0.687 0.687 0.406
O3 0.284 0.803 0.168
O4 0.313 0.313 0.594
O5 0.716 0.197 0.832
O6 0.803 0.284 0.168
O7 0.197 0.716 0.832
O8 0.200 0.200 0.917
Mo1 0.000 0.000 0.000
V1 0.646 0.646 0.208
V2 0.354 0.354 0.792
Tl1 0.000 0.000 0.500


Record 6
Crystalline Tl2MoWO at its relaxed geometry. Source: the Alexandria database, functional GGA+U.

## Properties
The symmetry is P4/mmm (123).

Cell: 5.570 5.130 5.570 Å, 90.00 90.00 90.00°
Positions (direct):
Mo1 0.000 0.500 0.000
O1 0.500 0.500 0.500
Tl1 0.000 0.000 0.500
Tl2 0.500 0.000 0.000
W1 0.000 0.000 0.000


Record 7
Crystalline Tl2MoW3O12 at its relaxed geometry. Source: the Alexandria database, functional GGA+U.

## Properties
The symmetry is R-3m (166).

Cell: 7.472 7.472 7.472 Å, 59.49 59.49 59.49°
Positions (direct):
W1 0.500 0.000 0.000
W2 0.000 0.000 0.500
W3 0.000 0.500 0.000
O1 0.323 0.938 0.938
O2 0.943 0.310 0.310
O3 0.690 0.057 0.690
O4 0.690 0.690 0.057
O5 0.310 0.943 0.310
O6 0.062 0.062 0.677
O7 0.938 0.938 0.323
O8 0.938 0.323 0.938
O9 0.062 0.677 0.062
O10 0.310 0.310 0.943
O11 0.057 0.690 0.690
O12 0.677 0.062 0.062
Tl1 0.343 0.343 0.343
Tl2 0.657 0.657 0.657
Mo1 0.000 0.000 0.000


Record 8
Crystalline TlMoW2O8 at its relaxed geometry. Source: the Alexandria database, functional GGA+U.

## Properties
The symmetry is P-3m1 (164).

Cell: 5.963 5.963 7.647 Å, 90.00 90.00 120.00°
Positions (direct):
O1 0.333 0.667 0.973
O2 0.834 0.165 0.334
O3 0.667 0.333 0.027
O4 0.166 0.835 0.666
O5 0.835 0.669 0.334
O6 0.331 0.166 0.334
O7 0.669 0.834 0.666
O8 0.165 0.331 0.666
Mo1 0.000 0.000 0.500
Tl1 0.000 0.000 0.000
W1 0.333 0.667 0.741
W2 0.667 0.333 0.259


Across the entries above, E_tot takes the values -7.7478 -7.7507 -4.5286 -6.2488 -7.0165 -3.1061 -6.9490 -7.0646 eV/atom, respectively.
Across the entries above, V takes the values 17.73 15.94 24.53 14.28 18.00 31.84 16.20 19.62 Å³/atom, respectively.